RuPt2Pb: relaxed, PBE-GGA.

Cell: 2.890 3.690 6.826 Å, 90.00 90.64 90.00°
Fractional coordinates of all 4 atoms:
Ru 0.000 0.000 0.000
Pt 0.494 0.500 0.796
Pt 0.506 0.500 0.204
Pb 0.000 0.000 0.500

Calculated values
DOS(E_F) in states/eV per atom: 1.142
Energy of formation in meV/atom: 216



RuPtPb: relaxed, PBE-GGA.

Cell: 4.509 4.509 3.117 Å, 90.00 90.00 120.00°
Fractional coordinates of all 3 atoms:
Ru 0.000 0.000 0.000
Pt 0.667 0.333 0.612
Pb 0.333 0.667 0.317

Calculated values
DOS(E_F) in states/eV per atom: 1.277
Energy above the most stable polymorph in this dataset in meV/atom: 79.9
Energy of formation in meV/atom: 470



RuPt2Pb: relaxed, PBE-GGA.

Cell: 3.046 3.761 6.124 Å, 90.00 90.00 90.00°
Fractional coordinates of all 4 atoms:
Ru 0.000 0.000 0.000
Pt 0.000 0.000 0.559
Pt 0.500 0.500 0.793
Pb 0.500 0.500 0.281

Calculated values
DOS(E_F) in states/eV per atom: 1.022
Energy of formation in meV/atom: 252



Ru2PtPb: relaxed, PBE-GGA.

Cell: 4.068 4.068 7.964 Å, 90.00 90.00 90.00°
Fractional coordinates of all 8 atoms:
Ru 0.000 0.000 0.000
Ru 0.000 0.500 0.250
Ru 0.500 0.000 0.750
Ru 0.500 0.500 0.500
Pt 0.000 0.000 0.500
Pt 0.500 0.500 0.000
Pb 0.000 0.500 0.750
Pb 0.500 0.000 0.250

Calculated values
DOS(E_F) in states/eV per atom: 0.736
Energy of formation in meV/atom: 329



Ru2PtPb: relaxed, PBE-GGA.

Cell: 2.950 3.772 6.094 Å, 90.00 90.00 90.00°
Fractional coordinates of all 4 atoms:
Ru 0.000 0.000 0.219
Ru 0.000 0.000 0.781
Pt 0.500 0.500 0.000
Pb 0.500 0.500 0.500

Calculated values
DOS(E_F) in states/eV per atom: 1.510
Energy of formation in meV/atom: 442



RuPt2Pb: relaxed, PBE-GGA.

Cell: 4.081 4.081 8.262 Å, 90.00 90.00 90.00°
Fractional coordinates of all 8 atoms:
Ru 0.000 0.000 0.000
Ru 0.500 0.500 0.500
Pt 0.000 0.500 0.250
Pt 0.000 0.500 0.750
Pt 0.500 0.000 0.250
Pt 0.500 0.000 0.750
Pb 0.000 0.000 0.500
Pb 0.500 0.500 0.000

Calculated values
DOS(E_F) in states/eV per atom: 0.951
Energy of formation in meV/atom: 257



RuPtPb2: relaxed, PBE-GGA.

Cell: 6.907 6.907 6.907 Å, 90.00 90.00 90.00°
Fractional coordinates of all 16 atoms:
Ru 0.000 0.000 0.000
Ru 0.000 0.500 0.500
Ru 0.500 0.000 0.500
Ru 0.500 0.500 0.000
Pt 0.250 0.250 0.250
Pt 0.250 0.750 0.750
Pt 0.750 0.250 0.750
Pt 0.750 0.750 0.250
Pb 0.000 0.000 0.500
Pb 0.000 0.500 0.000
Pb 0.250 0.250 0.750
Pb 0.250 0.750 0.250
Pb 0.500 0.000 0.000
Pb 0.500 0.500 0.500
Pb 0.750 0.250 0.250
Pb 0.750 0.750 0.750

Calculated values
DOS(E_F) in states/eV per atom: 0.973
Energy above the most stable polymorph in this dataset in meV/atom: 359.5
Energy of formation in meV/atom: 531



RuPtPb2: relaxed, PBE-GGA.

Cell: 3.390 3.408 6.878 Å, 90.00 90.16 90.00°
Fractional coordinates of all 4 atoms:
Ru 0.000 0.000 0.000
Pt 0.000 0.000 0.500
Pb 0.499 0.500 0.756
Pb 0.501 0.500 0.244

Calculated values
DOS(E_F) in states/eV per atom: 0.889
Energy above the most stable polymorph in this dataset in meV/atom: 151.8
Energy of formation in meV/atom: 323



Ru3PtPb: relaxed, PBE-GGA.

Cell: 4.809 4.809 4.809 Å, 90.00 90.00 90.00°
Fractional coordinates of all 5 atoms:
Ru 0.000 0.000 0.500
Ru 0.000 0.500 0.000
Ru 0.500 0.000 0.000
Pt 0.000 0.000 0.000
Pb 0.500 0.500 0.500

Calculated values
DOS(E_F) in states/eV per atom: 1.702
Energy above the most stable polymorph in this dataset in meV/atom: 0.0
Energy of formation in meV/atom: 1603



Ru2PtPb: relaxed, PBE-GGA.

Cell: 2.944 2.944 7.953 Å, 90.00 90.00 90.00°
Fractional coordinates of all 4 atoms:
Ru 0.000 0.000 0.000
Ru 0.500 0.500 0.195
Pt 0.500 0.500 0.762
Pb 0.000 0.000 0.475

Calculated values
DOS(E_F) in states/eV per atom: 1.049
Energy of formation in meV/atom: 326



RuPtPb: relaxed, PBE-GGA.

Cell: 3.140 3.140 11.259 Å, 90.00 90.00 90.00°
Fractional coordinates of all 6 atoms:
Ru 0.000 0.000 0.000
Ru 0.500 0.500 0.500
Pt 0.000 0.000 0.361
Pt 0.500 0.500 0.861
Pb 0.000 0.000 0.676
Pb 0.500 0.500 0.176

Calculated values
DOS(E_F) in states/eV per atom: 1.081
Energy above the most stable polymorph in this dataset in meV/atom: 39.5
Energy of formation in meV/atom: 429



Ru2PtPb: relaxed, PBE-GGA.

Cell: 9.254 3.001 4.907 Å, 90.00 100.18 90.00°
Fractional coordinates of all 8 atoms:
Ru 0.000 0.000 0.000
Ru 0.237 0.500 0.196
Ru 0.500 0.500 0.000
Ru 0.737 0.000 0.196
Pt 0.487 0.000 0.448
Pt 0.987 0.500 0.448
Pb 0.244 0.000 0.709
Pb 0.744 0.500 0.709

Calculated values
DOS(E_F) in states/eV per atom: 0.767
Energy of formation in meV/atom: 332



RuPt2Pb: relaxed, PBE-GGA.

Cell: 3.980 3.980 4.293 Å, 90.00 90.00 90.00°
Fractional coordinates of all 4 atoms:
Ru 0.000 0.000 0.000
Pt 0.000 0.500 0.500
Pt 0.500 0.000 0.500
Pb 0.500 0.500 0.000

Calculated values
DOS(E_F) in states/eV per atom: 0.528
Energy of formation in meV/atom: 127



Ru2PtPb: relaxed, PBE-GGA.

Cell: 2.992 2.992 26.353 Å, 90.00 90.00 120.00°
Fractional coordinates of all 12 atoms:
Ru 0.000 0.000 0.247
Ru 0.000 0.000 0.753
Ru 0.333 0.667 0.420
Ru 0.333 0.667 0.913
Ru 0.667 0.333 0.087
Ru 0.667 0.333 0.580
Pt 0.000 0.000 0.500
Pt 0.333 0.667 0.167
Pt 0.667 0.333 0.833
Pb 0.000 0.000 0.000
Pb 0.333 0.667 0.667
Pb 0.667 0.333 0.333

Calculated values
DOS(E_F) in states/eV per atom: 1.562
Energy of formation in meV/atom: 605



RuPt2Pb: relaxed, PBE-GGA.

Cell: 3.904 3.904 19.481 Å, 90.00 90.00 90.00°
Fractional coordinates of all 16 atoms:
Ru 0.000 0.000 0.000
Ru 0.000 0.500 0.250
Ru 0.500 0.000 0.750
Ru 0.500 0.500 0.500
Pt 0.232 0.250 0.125
Pt 0.250 0.732 0.375
Pt 0.250 0.768 0.875
Pt 0.268 0.250 0.625
Pt 0.732 0.750 0.625
Pt 0.750 0.232 0.875
Pt 0.750 0.268 0.375
Pt 0.768 0.750 0.125
Pb 0.000 0.000 0.500
Pb 0.000 0.500 0.750
Pb 0.500 0.000 0.250
Pb 0.500 0.500 0.000

Calculated values
DOS(E_F) in states/eV per atom: 1.550
Energy of formation in meV/atom: 416



RuPt2Pb: relaxed, PBE-GGA.

Cell: 5.579 8.238 3.013 Å, 90.00 90.00 90.00°
Fractional coordinates of all 8 atoms:
Ru 0.000 0.000 0.000
Ru 0.500 0.500 0.000
Pt 0.250 0.250 0.500
Pt 0.250 0.750 0.500
Pt 0.750 0.250 0.500
Pt 0.750 0.750 0.500
Pb 0.000 0.500 0.000
Pb 0.500 0.000 0.000

Calculated values
DOS(E_F) in states/eV per atom: 1.058
Energy of formation in meV/atom: 227



RuPt2Pb: relaxed, PBE-GGA.

Cell: 4.919 4.919 2.907 Å, 90.00 90.00 90.00°
Fractional coordinates of all 4 atoms:
Ru 0.000 0.000 0.000
Pt 0.000 0.500 0.500
Pt 0.500 0.000 0.500
Pb 0.500 0.500 0.000

Calculated values
DOS(E_F) in states/eV per atom: 1.395
Energy of formation in meV/atom: 326



Ru2PtPb: relaxed, PBE-GGA.

Cell: 9.015 2.959 5.270 Å, 90.00 102.50 90.00°
Fractional coordinates of all 8 atoms:
Ru 0.249 0.000 0.207
Ru 0.251 0.500 0.793
Ru 0.749 0.500 0.207
Ru 0.751 0.000 0.793
Pt 0.000 0.500 0.000
Pt 0.500 0.000 0.000
Pb 0.000 0.000 0.500
Pb 0.500 0.500 0.500

Calculated values
DOS(E_F) in states/eV per atom: 1.093
Energy of formation in meV/atom: 341



RuPtPb2: relaxed, PBE-GGA.

Cell: 6.413 7.341 3.386 Å, 90.00 90.00 90.00°
Fractional coordinates of all 8 atoms:
Ru 0.000 0.000 0.000
Ru 0.500 0.500 0.000
Pt 0.000 0.500 0.000
Pt 0.500 0.000 0.000
Pb 0.250 0.250 0.500
Pb 0.250 0.750 0.500
Pb 0.750 0.250 0.500
Pb 0.750 0.750 0.500

Calculated values
DOS(E_F) in states/eV per atom: 0.814
Energy above the most stable polymorph in this dataset in meV/atom: 153.1
Energy of formation in meV/atom: 324



RuPt2Pb: relaxed, PBE-GGA.

Cell: 9.468 3.132 4.754 Å, 90.00 100.34 90.00°
Fractional coordinates of all 8 atoms:
Ru 0.000 0.000 0.000
Ru 0.500 0.500 0.000
Pt 0.243 0.500 0.230
Pt 0.257 0.000 0.770
Pt 0.743 0.000 0.230
Pt 0.757 0.500 0.770
Pb 0.000 0.500 0.500
Pb 0.500 0.000 0.500

Calculated values
DOS(E_F) in states/eV per atom: 1.176
Energy of formation in meV/atom: 230



RuPt2Pb: relaxed, PBE-GGA.

Cell: 2.966 2.966 8.246 Å, 90.00 90.00 90.00°
Fractional coordinates of all 4 atoms:
Ru 0.000 0.000 0.000
Pt 0.500 0.500 0.209
Pt 0.500 0.500 0.791
Pb 0.000 0.000 0.500

Calculated values
DOS(E_F) in states/eV per atom: 1.405
Energy of formation in meV/atom: 252



Ru2PtPb: relaxed, PBE-GGA.

Cell: 6.484 6.484 6.484 Å, 90.00 90.00 90.00°
Fractional coordinates of all 16 atoms:
Ru 0.000 0.000 0.000
Ru 0.000 0.500 0.500
Ru 0.250 0.250 0.250
Ru 0.250 0.750 0.750
Ru 0.500 0.000 0.500
Ru 0.500 0.500 0.000
Ru 0.750 0.250 0.750
Ru 0.750 0.750 0.250
Pt 0.000 0.000 0.500
Pt 0.000 0.500 0.000
Pt 0.500 0.000 0.000
Pt 0.500 0.500 0.500
Pb 0.250 0.250 0.750
Pb 0.250 0.750 0.250
Pb 0.750 0.250 0.250
Pb 0.750 0.750 0.750

Calculated values
DOS(E_F) in states/eV per atom: 1.449
Energy of formation in meV/atom: 534



RuPt2Pb: relaxed, PBE-GGA.

Cell: 3.006 3.006 27.232 Å, 90.00 90.00 120.00°
Fractional coordinates of all 12 atoms:
Ru 0.000 0.000 0.000
Ru 0.333 0.667 0.667
Ru 0.667 0.333 0.333
Pt 0.000 0.000 0.489
Pt 0.000 0.000 0.741
Pt 0.333 0.667 0.155
Pt 0.333 0.667 0.407
Pt 0.667 0.333 0.074
Pt 0.667 0.333 0.822
Pb 0.000 0.000 0.245
Pb 0.333 0.667 0.912
Pb 0.667 0.333 0.579

Calculated values
DOS(E_F) in states/eV per atom: 1.216
Energy of formation in meV/atom: 410



RuPtPb: relaxed, PBE-GGA.

Cell: 3.080 4.076 8.662 Å, 90.00 90.00 90.00°
Fractional coordinates of all 6 atoms:
Ru 0.000 0.000 0.000
Ru 0.500 0.500 0.500
Pt 0.000 0.000 0.350
Pt 0.500 0.500 0.850
Pb 0.000 0.000 0.675
Pb 0.500 0.500 0.175

Calculated values
DOS(E_F) in states/eV per atom: 1.302
Energy above the most stable polymorph in this dataset in meV/atom: 71.2
Energy of formation in meV/atom: 461



RuPtPb2: relaxed, PBE-GGA.

Cell: 3.386 3.386 24.969 Å, 90.00 90.00 120.00°
Fractional coordinates of all 12 atoms:
Ru 0.000 0.000 0.000
Ru 0.333 0.667 0.667
Ru 0.667 0.333 0.333
Pt 0.000 0.000 0.500
Pt 0.333 0.667 0.167
Pt 0.667 0.333 0.833
Pb 0.000 0.000 0.252
Pb 0.000 0.000 0.748
Pb 0.333 0.667 0.414
Pb 0.333 0.667 0.919
Pb 0.667 0.333 0.081
Pb 0.667 0.333 0.586

Calculated values
DOS(E_F) in states/eV per atom: 1.006
Energy above the most stable polymorph in this dataset in meV/atom: 213.4
Energy of formation in meV/atom: 385



RuPtPb2: relaxed, PBE-GGA.

Cell: 3.501 4.113 5.724 Å, 90.00 90.00 90.00°
Fractional coordinates of all 4 atoms:
Ru 0.000 0.000 0.000
Pt 0.500 0.500 0.668
Pb 0.000 0.000 0.509
Pb 0.500 0.500 0.151

Calculated values
DOS(E_F) in states/eV per atom: 0.744
Energy above the most stable polymorph in this dataset in meV/atom: 119.8
Energy of formation in meV/atom: 291



RuPt4Pb: relaxed, PBE-GGA.

Cell: 5.363 5.363 5.363 Å, 60.00 60.00 60.00°
Fractional coordinates of all 6 atoms:
Ru 0.000 0.000 0.000
Pt 0.374 0.374 0.374
Pt 0.374 0.374 0.877
Pt 0.374 0.877 0.374
Pt 0.877 0.374 0.374
Pb 0.750 0.750 0.750

Calculated values
DOS(E_F) in states/eV per atom: 1.483
Energy of formation in meV/atom: 293



RuPt2Pb: relaxed, PBE-GGA.

Cell: 4.214 4.214 7.708 Å, 90.00 90.00 90.00°
Fractional coordinates of all 8 atoms:
Ru 0.000 0.000 0.000
Ru 0.500 0.500 0.500
Pt 0.000 0.000 0.500
Pt 0.000 0.500 0.750
Pt 0.500 0.000 0.250
Pt 0.500 0.500 0.000
Pb 0.000 0.500 0.250
Pb 0.500 0.000 0.750

Calculated values
DOS(E_F) in states/eV per atom: 1.359
Energy of formation in meV/atom: 213



RuPtPb2: relaxed, PBE-GGA.

Cell: 3.600 4.310 5.629 Å, 90.00 108.51 90.00°
Fractional coordinates of all 4 atoms:
Ru 0.000 0.000 0.000
Pt 0.840 0.500 0.681
Pb 0.271 0.000 0.544
Pb 0.568 0.500 0.137

Calculated values
DOS(E_F) in states/eV per atom: 0.982
Energy above the most stable polymorph in this dataset in meV/atom: 0.0
Energy of formation in meV/atom: 171



Ru2PtPb: relaxed, PBE-GGA.

Cell: 4.504 4.504 3.269 Å, 90.00 90.00 90.00°
Fractional coordinates of all 4 atoms:
Ru 0.000 0.500 0.000
Ru 0.500 0.000 0.000
Pt 0.000 0.000 0.500
Pb 0.500 0.500 0.500

Calculated values
DOS(E_F) in states/eV per atom: 0.709
Energy of formation in meV/atom: 383



Ru2PtPb: relaxed, PBE-GGA.

Cell: 3.010 3.010 7.458 Å, 90.00 90.00 90.00°
Fractional coordinates of all 4 atoms:
Ru 0.000 0.000 0.225
Ru 0.000 0.000 0.775
Pt 0.500 0.500 0.000
Pb 0.500 0.500 0.500

Calculated values
DOS(E_F) in states/eV per atom: 1.281
Energy of formation in meV/atom: 477